12
Lattice="-0.7313 -1.4290 -4.5781 3.9724 -0.0485 -2.7845 1.7131 -7.7379 1.4628" Properties=species:S:1:pos:R:3 comment="KIrS2O8 PBE relaxed" energy_ev_per_atom=-6.0886 formation_energy_uncorrected_ev_per_atom=-1.265 magmom_total_mub_per_fu=0.00 pbc="T T T"
O 2.8593 -3.7961 -4.5769
O 3.1066 -1.8999 -3.1200
O 0.8991 -2.5477 -3.9618
O 2.0949 -5.4193 -1.3229
O 2.4492 -7.7525 -0.4564
O 4.0551 -6.6677 -1.9380
O 1.8476 -7.3155 -2.7798
O 2.5050 -1.4630 -5.4434
Ir 0.0000 0.0000 0.0000
S 2.5827 -6.7671 -1.5648
S 2.3715 -2.4483 -4.3350
K 0.8566 -3.8689 0.7314

20
Lattice="6.4419 0.0000 0.0000 0.0000 6.1260 0.0000 0.0000 0.0000 6.2815" Properties=species:S:1:pos:R:3 comment="AlVNi3 PBE relaxed" e_form_ev_per_atom=-0.142 polymorph_energy_ev_per_atom=0.000 energy_ev_per_atom=-6.1826 magmom_total_mub_per_fu=0.00 pbc="T T T"
Ni 2.2856 2.1883 0.2921
Ni 0.9354 5.2513 5.9894
Ni 4.1563 3.9377 3.4328
Ni 0.8580 1.3314 4.7111
Ni 0.9354 5.2513 3.4328
Ni 5.5065 0.8747 0.2921
Ni 5.5839 4.7946 1.5704
Ni 2.3629 4.3944 1.5704
Ni 2.2856 2.1883 2.8487
Ni 4.0790 1.7316 4.7111
Ni 5.5065 0.8747 2.8487
Ni 4.1563 3.9377 5.9894
Al 2.1726 3.6593 4.7111
Al 5.3936 5.5298 4.7111
Al 1.0483 0.5963 1.5704
Al 4.2693 2.4668 1.5704
V 3.2209 0.0000 3.1407
V 0.0000 3.0630 0.0000
V 3.2209 0.0000 0.0000
V 0.0000 3.0630 3.1407

5
Lattice="-0.4442 4.2667 -1.5497 0.3346 -1.2670 -3.5842 -4.5217 -0.5531 -0.2266" Properties=species:S:1:pos:R:3 comment="Zr2ReRuN PBE relaxed" energy_ev_per_atom=-9.8503 formation_energy_uncorrected_ev_per_atom=-0.421 magmom_total_mub_per_fu=0.00 pbc="T T T"
N 0.0000 0.0000 0.0000
Re -2.3157 1.2233 -2.6803
Ru 0.1673 -0.6335 -1.7921
Zr -2.2609 -0.2765 -0.1133
Zr -0.2221 2.1333 -0.7748

5
Lattice="3.9863 0.0000 0.0000 0.0000 3.9863 0.0000 0.0000 0.0000 3.9863" Properties=species:S:1:pos:R:3 comment="TlSeO3 PBE relaxed" energy_ev_per_atom=-4.4772 formation_energy_uncorrected_ev_per_atom=-0.332 magmom_total_mub_per_fu=0.00 pbc="T T T"
O 1.9932 0.0000 0.0000
O 0.0000 1.9932 0.0000
O 0.0000 0.0000 1.9932
Tl 1.9932 1.9932 1.9932
Se 0.0000 0.0000 0.0000

6
Lattice="-2.4946 0.7065 -2.5683 0.9761 -3.0315 -1.7820 -9.9931 -7.6814 7.5934" Properties=species:S:1:pos:R:3 comment="Nd4HoIn PBE relaxed" e_form_ev_per_atom=-0.138 polymorph_energy_ev_per_atom=0.000 energy_ev_per_atom=-4.5362 magmom_total_mub_per_fu=0.00 pbc="T T T"
Nd -6.4665 -4.9706 4.9137
Nd -3.5266 -2.7108 2.6797
Nd -9.0315 -7.5211 4.1105
Nd -2.4802 -2.4853 -0.8675
Ho 0.0000 0.0000 0.0000
In -5.7558 -5.0032 1.6215

5
Lattice="4.2821 0.0000 0.0000 0.0000 4.2821 0.0000 0.0000 0.0000 4.7625" Properties=species:S:1:pos:R:3 comment="CaFePC2 PBE relaxed" e_form_ev_per_atom=3.231 energy_ev_per_atom=-3.6337 magmom_total_mub_per_fu=0.08 pbc="T T T"
P 2.1410 2.1410 2.3813
C 0.0000 2.1410 0.0000
C 2.1410 0.0000 0.0000
Ca 0.0000 0.0000 0.0000
Fe 0.0000 0.0000 2.3813